# 1
Material: ZrMo
Method: DFT, PBE-GGA
State: relaxed

Unit cell a=8.6953 b=4.8595 c=5.4706 alpha=90.00 beta=90.00 gamma=90.00
Fractional coordinates of all 12 atoms:
Zr 0.0000 0.2481 0.0000
Zr 0.1764 0.7311 0.7679
Zr 0.3236 0.2689 0.2679
Zr 0.5000 0.7519 0.5000
Zr 0.6764 0.2689 0.2679
Zr 0.8236 0.7311 0.7679
Mo 0.0000 0.2460 0.4989
Mo 0.1491 0.7694 0.2787
Mo 0.3509 0.2306 0.7787
Mo 0.5000 0.7540 0.9989
Mo 0.6491 0.2306 0.7787
Mo 0.8509 0.7694 0.2787

Symmetry ... Pmn2_1, No. 31
E above lowest polymorph ... 285 meV/atom
Calculated formation energy ... 0.24 eV per atom

---

# 2
Material: BeTe2Se
Method: DFT, PBE-GGA
State: relaxed

Unit cell a=5.5521 b=5.5521 c=5.5521 alpha=139.42 beta=117.42 gamma=77.29
Fractional coordinates of all 4 atoms:
Be 0.0000 0.0000 0.0000
Te 0.1799 0.6799 0.5000
Te 0.8201 0.3201 0.5000
Se 0.5000 0.5000 0.0000

Raw formation energy ... 356 meV per atom
Symmetry ... Immm, No. 71
E above lowest polymorph ... 358 meV/atom

---

# 3
Material: Si2PtW
Method: DFT, PBE-GGA
State: relaxed

Unit cell a=4.5007 b=4.5007 c=5.3211 alpha=106.66 beta=106.66 gamma=35.38
Fractional coordinates of all 4 atoms:
Si 0.2389 0.2389 0.2735
Si 0.7611 0.7611 0.7265
Pt 0.5000 0.5000 0.0000
W 0.0000 0.0000 0.5000

Raw formation energy ... -136 meV per atom
Symmetry ... C2/m, No. 12
E above lowest polymorph ... 136 meV/atom

---

# 4
Material: Mn6PtRh5
Method: DFT, PBE-GGA
State: relaxed

Unit cell a=7.4844 b=7.4844 c=7.4844 alpha=146.38 beta=132.14 gamma=59.75
Fractional coordinates of all 12 atoms:
Mn 0.0799 0.3319 0.7481
Mn 0.2460 0.0000 0.2460
Mn 0.4162 0.6681 0.7481
Mn 0.5838 0.3319 0.2519
Mn 0.7540 0.0000 0.7540
Mn 0.9201 0.6681 0.2519
Pt 0.5000 0.5000 0.0000
Rh 0.0000 0.5000 0.5000
Rh 0.1668 0.1668 0.0000
Rh 0.3342 0.8342 0.5000
Rh 0.6658 0.1658 0.5000
Rh 0.8332 0.8332 0.0000

Symmetry ... Immm, No. 71
Calculated formation energy ... -0.21 eV per atom

---

Spin magnetization values, unit μB per cell, following the record order: 0.000, 0.000, 0.000, 25.464.
Calculated total energy values, unit eV/cell, following the record order: -113.4, -12.1, -30.4, -100.4.